Record 1
Crystalline SrCrTeI2 at its relaxed geometry. Source: Alexandria via LeMat-Bulk, functional PBE.

a = 5.511 Å, b = 5.511 Å, c = 5.669 Å
α = 90.00°, β = 90.00°, γ = 90.00°
Space group P4/mmm (No. 123)
Asymmetric unit:
Sr  0.000  0.000  0.000 [1 per cell]
Cr  0.500  0.500  0.500 [1 per cell]
Te  0.500  0.500  0.000 [1 per cell]
I  0.000  0.500  0.500 [2 per cell]

Values from the calculation:
E above lowest polymorph ... 0.00 eV/f.u.
Raw total energy ... -4.171 eV/atom
E_form (uncorrected) ... -661 meV per atom
Total moment ... 0.800 μB/atom
Calculated volume ... 172.2 Å³/f.u.



Record 2
Crystalline MgBeFe2 at its relaxed geometry. Source: Alexandria via LeMat-Bulk, functional PBE.

a = 2.566 Å, b = 3.898 Å, c = 5.057 Å
α = 90.00°, β = 101.44°, γ = 90.00°
Space group Pm (No. 6)
Asymmetric unit:
Mg  0.000  0.000  0.000 [1 per cell]
Be  0.788  0.500  0.303 [1 per cell]
Fe  0.331  0.500  0.719 [1 per cell]
Fe  0.516  0.000  0.492 [1 per cell]

Values from the calculation:
E above lowest polymorph ... 0.42 eV/f.u.
Raw total energy ... -5.386 eV/atom
Formation energy from the elements ... 0.18 eV/atom
Total moment ... 1.019 μB/atom
Calculated volume ... 49.6 Å³/f.u.



Record 3
Crystalline InAsBr at its relaxed geometry. Source: Alexandria via LeMat-Bulk, functional PBE.

a = 6.970 Å, b = 6.970 Å, c = 6.970 Å
α = 90.00°, β = 90.00°, γ = 90.00°
Space group F-43m (No. 216)
Asymmetric unit:
In  0.000  0.000  0.000 [4 per cell]
As  0.250  0.250  0.250 [4 per cell]
Br  0.000  0.000  0.500 [4 per cell]

Values from the calculation:
E above lowest polymorph ... 1.36 eV/f.u.
Raw total energy ... -2.881 eV/atom
E_form (uncorrected) ... 139 meV per atom
Total moment ... 0.000 μB/atom
Calculated volume ... 84.7 Å³/f.u.



Record 4
Crystalline DyHo6Tm2Sc3 at its relaxed geometry. Source: Alexandria via LeMat-Bulk, functional PBE.

a = 6.003 Å, b = 10.387 Å, c = 11.392 Å
α = 90.00°, β = 100.09°, γ = 90.00°
Space group C2/m (No. 12)
Asymmetric unit:
Dy  0.000  0.000  0.000 [2 per cell]
Ho  0.247  0.333  0.742 [8 per cell]
Ho  0.248  0.000  0.742 [4 per cell]
Tm  0.000  0.333  0.000 [4 per cell]
Sc  0.000  0.167  0.500 [4 per cell]
Sc  0.000  0.500  0.500 [2 per cell]

Values from the calculation:
Raw total energy ... -4.957 eV/atom
Formation energy from the elements ... 0.04 eV/atom
Total moment ... 0.000 μB/atom
Calculated volume ... 349.7 Å³/f.u.



Record 5
Crystalline LaInS2O8 at its relaxed geometry. Source: Alexandria via LeMat-Bulk, functional PBE.

a = 5.3066 Å, b = 5.3066 Å, c = 8.5235 Å
α = 90.00°, β = 90.00°, γ = 120.00°
Space group P-3m1 (No. 164)
Asymmetric unit:
La  0.0000  0.0000  0.0000 [1 per cell]
In  0.0000  0.0000  0.5000 [1 per cell]
S  0.3333  0.6667  0.1706 [2 per cell]
O  0.1798  0.3596  0.2267 [6 per cell]
O  0.3333  0.6667  0.9946 [2 per cell]

Values from the calculation:
Raw total energy ... -6.484 eV/atom
E_form (uncorrected) ... -1852 meV per atom
Total moment ... 0.000 μB/atom
Calculated volume ... 207.9 Å³/f.u.



Record 6
Crystalline Sc2AgAu at its relaxed geometry. Source: Alexandria via LeMat-Bulk, functional PBE.

a = 10.077 Å, b = 3.312 Å, c = 4.941 Å
α = 90.00°, β = 102.14°, γ = 90.00°
Space group Cm (No. 8)
Asymmetric unit:
Sc  0.000  0.000  0.000 [2 per cell]
Sc  0.228  0.000  0.646 [2 per cell]
Ag  0.480  0.000  0.479 [2 per cell]
Au  0.238  0.500  0.155 [2 per cell]

Values from the calculation:
E above lowest polymorph ... 0.41 eV/f.u.
Raw total energy ... -5.147 eV/atom
Formation energy from the elements ... -0.45 eV/atom
Total moment ... 0.000 μB/atom
Calculated volume ... 80.6 Å³/f.u.



The records above yield D(E_F) values of 0.16; 0.43; 0.74; 1.50; 0.00; 0.70 states/eV per atom, respectively.